[1]
# GGA-PBE OsWC3, optimized geometry
# ΔE_f (eV/atom): 2.575
# Excess energy over the best structure of this formula in the dataset (eV/atom): 0.123
data_OsWC3
_symmetry_space_group_name_H-M 'P m -3 m'
_symmetry_Int_Tables_number 221
_symmetry_space_group_name_Hall '-P 4 2 3'
_cell_length_a 4.0102
_cell_length_b 4.0102
_cell_length_c 4.0102
_cell_angle_alpha 90.00
_cell_angle_beta 90.00
_cell_angle_gamma 90.00
loop_
_atom_site_label
_atom_site_fract_x
_atom_site_fract_y
_atom_site_fract_z
_atom_site_occupancy
Os1 0.0000 0.0000 0.0000 1
W1 0.5000 0.5000 0.5000 1
C1 0.0000 0.5000 0.5000 1

=====

[2]
# GGA-PBE Os3WC, optimized geometry
# ΔE_f (eV/atom): 0.538
# Excess energy over the best structure of this formula in the dataset (eV/atom): 0.000
data_Os3WC
_symmetry_space_group_name_H-M 'P m -3 m'
_symmetry_Int_Tables_number 221
_symmetry_space_group_name_Hall '-P 4 2 3'
_cell_length_a 4.0626
_cell_length_b 4.0626
_cell_length_c 4.0626
_cell_angle_alpha 90.00
_cell_angle_beta 90.00
_cell_angle_gamma 90.00
loop_
_atom_site_label
_atom_site_fract_x
_atom_site_fract_y
_atom_site_fract_z
_atom_site_occupancy
Os1 0.0000 0.0000 0.5000 1
W1 0.5000 0.5000 0.5000 1
C1 0.0000 0.0000 0.0000 1

=====

[3]
# GGA-PBE Os3WC, optimized geometry
# ΔE_f (eV/atom): 3.642
# Excess energy over the best structure of this formula in the dataset (eV/atom): 3.104
data_Os3WC
_symmetry_space_group_name_H-M 'P m -3 m'
_symmetry_Int_Tables_number 221
_symmetry_space_group_name_Hall '-P 4 2 3'
_cell_length_a 4.7223
_cell_length_b 4.7223
_cell_length_c 4.7223
_cell_angle_alpha 90.00
_cell_angle_beta 90.00
_cell_angle_gamma 90.00
loop_
_atom_site_label
_atom_site_fract_x
_atom_site_fract_y
_atom_site_fract_z
_atom_site_occupancy
Os1 0.0000 0.0000 0.5000 1
W1 0.0000 0.0000 0.0000 1
C1 0.5000 0.5000 0.5000 1

=====

[4]
# GGA-PBE OsW2C, optimized geometry
# ΔE_f (eV/atom): 0.895
data_OsW2C
_symmetry_space_group_name_H-M 'I -4 2 d'
_symmetry_Int_Tables_number 122
_symmetry_space_group_name_Hall 'I -4 2bw'
_cell_length_a 5.1613
_cell_length_b 5.1613
_cell_length_c 10.2779
_cell_angle_alpha 90.00
_cell_angle_beta 90.00
_cell_angle_gamma 90.00
loop_
_atom_site_label
_atom_site_fract_x
_atom_site_fract_y
_atom_site_fract_z
_atom_site_occupancy
Os1 0.0000 0.0000 0.0000 1
W1 0.1748 0.2500 0.6250 1
C1 0.0000 0.0000 0.5000 1